## LaMgZr (GGA-PBEsol)

Data for LaMgZr after structural relaxation.

```
3
Lattice="0.0000 3.5632 3.5632 3.5632 0.0000 3.5632 3.5632 3.5632 0.0000" Properties=species:S:1:pos:R:3 pbc="T T T"
La 0.0000 0.0000 0.0000
Mg 5.3448 5.3448 5.3448
Zr 1.7816 1.7816 1.7816
```

Output
DOS(E_F): 5.042 states/eV/cell
energy above the most stable polymorph in this dataset: 959.5 meV/atom
formation energy from the elements: 1.04 eV/atom

=====

## V3Ge (GGA-PBEsol)

Data for V3Ge after structural relaxation.

```
8
Lattice="4.6963 0.0000 0.0000 0.0000 4.6963 0.0000 0.0000 0.0000 4.6963" Properties=species:S:1:pos:R:3 pbc="T T T"
V 0.0000 1.1741 2.3482
V 0.0000 3.5222 2.3482
V 1.1741 2.3482 0.0000
V 2.3482 0.0000 1.1741
V 2.3482 0.0000 3.5222
V 3.5222 2.3482 0.0000
Ge 0.0000 0.0000 0.0000
Ge 2.3482 2.3482 2.3482
```

Output
DOS(E_F): 14.499 states/eV/cell
formation energy from the elements: -0.38 eV/atom